# In3HgC (PBE, optimized geometry)
# Energy above the lowest structure with this stoichiometry   83.8 kJ per mole of atoms
# Energy   -0.07137 hartree per atom
# ΔE_f   37.040 kcal/mol of atoms
data_In3HgC
_cell_length_a 5.561
_cell_length_b 5.561
_cell_length_c 5.561
_cell_angle_alpha 90.00
_cell_angle_beta 90.00
_cell_angle_gamma 90.00
_space_group_name_H-M_alt 'P m -3 m'
_space_group_IT_number 221
_space_group_name_Hall '-P 4 2 3'
loop_
_atom_site_label
_atom_site_type_symbol
_atom_site_fract_x
_atom_site_fract_y
_atom_site_fract_z
_atom_site_occupancy
In1 In 0.000 0.000 0.500 1
Hg1 Hg 0.000 0.000 0.000 1
C1 C 0.500 0.500 0.500 1